Below is a geometry-optimized Cd2InCoP structure, with properties calculated at the PBE level.

## Properties
M_tot ... 0.32 μB/atom
Calculated formation energy ... 1.1971 eV/atom
VASP energy ... -2.220 eV/atom

Geometry as CIF:
```
data_Cd2InCoP
_symmetry_space_group_name_H-M 'P 4/m m m'
_symmetry_Int_Tables_number 123
_symmetry_space_group_name_Hall '-P 4 2'
_cell_length_a 5.299
_cell_length_b 5.299
_cell_length_c 4.836
_cell_angle_alpha 90.00
_cell_angle_beta 90.00
_cell_angle_gamma 90.00
loop_
_atom_site_label
_atom_site_type_symbol
_atom_site_fract_x
_atom_site_fract_y
_atom_site_fract_z
Cd1 Cd 0.000 0.500 0.000
In1 In 0.000 0.000 0.000
Co1 Co 0.000 0.000 0.500
P1 P 0.500 0.500 0.500
```